[1]
The following is a PBE calculation of crystalline Li3Ca2IrO6 at its relaxed geometry, from the Alexandria database.

abc: 5.727 5.727 5.272
angles: 98.44 98.44 122.34
Positions (direct):
1 O 0.766 0.766 0.236
2 O 0.352 0.069 0.238
3 O 0.648 0.931 0.762
4 O 0.931 0.648 0.762
5 O 0.234 0.234 0.764
6 O 0.069 0.352 0.238
7 Li 0.124 0.876 0.500
8 Li 0.500 0.500 0.500
9 Li 0.876 0.124 0.500
10 Ca 0.331 0.669 0.000
11 Ca 0.669 0.331 0.000
12 Ir 0.000 0.000 0.000

Output
**ΔE_f (raw)**: -1.938 eV/atom
**Raw total energy**: -5.9679 eV/atom
**Calculated density**: 4.65 Mg/m³
**DOS(E_F)**: 0.4511 states/eV per atom


[2]
The following is a PBE calculation of crystalline Li2CaIrO at its relaxed geometry, from the Alexandria database.

abc: 4.079 4.454 4.079
angles: 90.00 90.00 90.00
Positions (direct):
1 O 0.000 0.000 0.000
2 Ir 0.000 0.500 0.000
3 Li 0.500 0.000 0.000
4 Li 0.000 0.000 0.500
5 Ca 0.500 0.500 0.500

Output
**ΔE_f (raw)**: -0.526 eV/atom
**Raw total energy**: -4.4555 eV/atom
**Calculated density**: 5.88 Mg/m³
**DOS(E_F)**: 0.2294 states/eV per atom


[3]
The following is a PBE calculation of crystalline LiCa2P2Ir at its relaxed geometry, from the Alexandria database.

abc: 5.702 5.642 8.104
angles: 110.37 110.60 90.00
Positions (direct):
1 Ca 0.415 0.167 0.335
2 Ca 0.920 0.667 0.335
3 Ca 0.585 0.833 0.665
4 Ca 0.080 0.333 0.665
5 Li 0.000 0.250 0.000
6 Li 0.000 0.750 0.000
7 P 0.626 0.393 0.786
8 P 0.160 0.893 0.786
9 P 0.374 0.607 0.214
10 P 0.840 0.107 0.214
11 Ir 0.500 0.750 0.000
12 Ir 0.500 0.250 0.000

Output
**Energy of formation**: -827 meV/atom
**Raw total energy**: -5.0929 eV/atom
**Calculated density**: 5.00 Mg/m³
**DOS(E_F)**: 0.6261 states/eV per atom


[4]
The following is a PBE calculation of crystalline LiCaPmIr at its relaxed geometry, from the Alexandria database.

abc: 5.010 5.010 5.010
angles: 60.00 60.00 60.00
Positions (direct):
1 Pm 0.250 0.250 0.250
2 Li 0.000 0.000 0.000
3 Ca 0.750 0.750 0.750
4 Ir 0.500 0.500 0.500

Output
**Energy of formation**: -340 meV/atom
**Raw total energy**: -4.7221 eV/atom
**Calculated density**: 7.17 Mg/m³
**DOS(E_F)**: 0.6624 states/eV per atom


[5]
The following is a PBE calculation of crystalline Li2CaIrPt at its relaxed geometry, from the Alexandria database.

abc: 4.335 4.761 4.335
angles: 90.00 90.00 90.00
Positions (direct):
1 Ir 0.500 0.500 0.500
2 Pt 0.000 0.500 0.000
3 Li 0.000 0.000 0.500
4 Li 0.500 0.000 0.000
5 Ca 0.000 0.000 0.000

Output
**Energy of formation**: 1104 meV/atom
**Raw total energy**: -3.0422 eV/atom
**Calculated density**: 8.19 Mg/m³
**DOS(E_F)**: 0.6646 states/eV per atom


[6]
The following is a PBE calculation of crystalline RbLiCa2Ir at its relaxed geometry, from the Alexandria database.

abc: 5.569 5.569 5.484
angles: 90.00 90.00 90.00
Positions (direct):
1 Rb 0.500 0.500 0.500
2 Ca 0.500 0.000 0.000
3 Ca 0.000 0.500 0.000
4 Ir 0.000 0.000 0.000
5 Li 0.000 0.000 0.500

Output
**Energy of formation**: 43 meV/atom
**Raw total energy**: -3.1061 eV/atom
**Calculated density**: 3.56 Mg/m³
**DOS(E_F)**: 0.5175 states/eV per atom